A crystal of FeCu3P4O16 relaxed with PBEsol, computed with meta-GGA SCAN.

a b c (Å): 5.011 5.941 9.854
angles (deg): 90.00 91.72 90.00
Space group Pm (No. 6)
Inequivalent atoms, fractional coordinates:
Fe  0.000  0.000  0.000 (multiplicity 1)
Cu  0.168  0.500  0.604 (multiplicity 1)
Cu  0.418  0.500  0.101 (multiplicity 1)
Cu  0.680  0.000  0.485 (multiplicity 1)
P  0.122  0.000  0.685 (multiplicity 1)
P  0.494  0.000  0.182 (multiplicity 1)
P  0.605  0.500  0.407 (multiplicity 1)
P  0.991  0.500  0.898 (multiplicity 1)
O  0.175  0.000  0.844 (multiplicity 1)
O  0.269  0.202  0.624 (multiplicity 2)
O  0.295  0.500  0.924 (multiplicity 1)
O  0.303  0.500  0.432 (multiplicity 1)
O  0.332  0.194  0.111 (multiplicity 2)
O  0.455  0.000  0.335 (multiplicity 1)
O  0.638  0.500  0.252 (multiplicity 1)
O  0.761  0.301  0.473 (multiplicity 2)
O  0.794  0.000  0.154 (multiplicity 1)
O  0.818  0.000  0.662 (multiplicity 1)
O  0.857  0.292  0.965 (multiplicity 2)
O  0.936  0.500  0.744 (multiplicity 1)

Computed properties:
As for the uncorrected formation energy: -1750 meV/atom.